PBE Mg3NbC, relaxed; formation energy = 2.445 eV/atom; electronic total energy = -2.371 eV per atom; magnetization = 1.33 μB per atom; E above lowest polymorph = 1.685 eV per atom; DOS(E_F) = 5.53 states/eV/f.u.; SG = No. 221
1.0
5.5878 0.0000 0.0000
0.0000 5.5878 0.0000
0.0000 0.0000 5.5878
Nb Mg C
1 3 1
Direct
0.0000 0.0000 0.0000
0.5000 0.0000 0.0000
0.0000 0.0000 0.5000
0.0000 0.5000 0.0000
0.5000 0.5000 0.5000


PBE Ta2NiHRu, relaxed; electronic total energy = -8.627 eV per atom; magnetization = 0.00 μB per atom; E above lowest polymorph = 0.000 eV per atom; DOS(E_F) = 2.89 states/eV/f.u.; SG = No. 123
1.0
-0.2076 4.0606 -0.5153
-2.2887 0.3126 3.3854
3.0956 0.4189 2.0541
H Ta Ni Ru
1 2 1 1
Direct
0.0000 0.0000 0.0000
0.5000 0.0000 0.0000
0.0000 0.5000 0.0000
0.0000 0.0000 0.5000
0.5000 0.5000 0.5000


PBE PrPuO2, relaxed; electronic total energy = -9.273 eV per atom; magnetization = 1.49 μB per atom; E above lowest polymorph = 0.580 eV per atom; DOS(E_F) = 5.39 states/eV/f.u.; SG = No. 123
1.0
3.0894 0.0000 0.0000
0.0000 3.0894 0.0000
0.0000 0.0000 6.2675
Pr O Pu
1 2 1
Direct
0.5000 0.5000 0.5000
0.0000 0.0000 0.2527
0.0000 0.0000 0.7473
0.5000 0.5000 0.0000


PBE Pm3Nd2Dy5, relaxed; formation energy = 0.385 eV/atom; electronic total energy = -4.295 eV per atom; magnetization = 0.00 μB per atom; E above lowest polymorph = 0.203 eV per atom; DOS(E_F) = 15.37 states/eV/f.u.; SG = No. 72
1.0
6.8709 0.0000 0.0000
3.4354 11.5860 2.8800
3.4354 5.8514 10.4063
Dy Pm Nd
10 6 4
Direct
0.6250 0.2869 0.4632
0.7500 0.5000 0.5000
0.9988 0.2512 0.2512
0.3750 0.7131 0.5368
0.8750 0.5368 0.7131
0.1250 0.4632 0.2869
0.5012 0.7488 0.7488
0.2500 0.5000 0.5000
0.0012 0.7488 0.7488
0.4988 0.2512 0.2512
0.2500 0.0000 0.0000
0.1304 0.1215 0.6177
0.7500 0.0000 0.0000
0.6304 0.6177 0.1215
0.3696 0.3823 0.8785
0.8696 0.8785 0.3823
0.6260 0.9756 0.7724
0.8740 0.2276 0.0244
0.1260 0.7724 0.9756
0.3740 0.0244 0.2276


PBE In2SiAs, relaxed; electronic total energy = -3.542 eV per atom; magnetization = 0.00 μB per atom; E above lowest polymorph = 0.208 eV per atom; DOS(E_F) = 2.02 states/eV/f.u.; SG = No. 65
1.0
-3.2819 2.1954 -3.2798
1.4606 -4.1350 -2.6677
-2.5708 -1.7938 1.3672
As In Si
1 2 1
Direct
0.0000 0.5000 0.5000
0.5000 0.5000 0.0000
0.0000 0.0000 0.0000
0.5000 0.0000 0.5000


PBE AcGe2I8, relaxed; electronic total energy = -2.991 eV per atom; magnetization = 0.00 μB per atom; DOS(E_F) = 6.27 states/eV/f.u.; SG = No. 12
1.0
7.9558 0.6910 0.5243
0.9662 8.9900 -0.4295
0.9662 2.0071 8.7736
Ac Ge I
1 2 8
Direct
0.0000 0.0000 0.0000
0.3350 0.1999 0.1999
0.6650 0.8001 0.8001
0.7825 0.7132 0.0851
0.8527 0.6142 0.6142
0.7825 0.0851 0.7132
0.2994 0.7917 0.7917
0.2175 0.9149 0.2868
0.7006 0.2083 0.2083
0.2175 0.2868 0.9149
0.1473 0.3858 0.3858